An optimized crystal structure of V2BiAsO8, computed with PBE+U.

Unit cell a=5.7461 b=5.7461 c=6.4760 alpha=90.00 beta=90.00 gamma=120.00
With the nearest neighbours (Å) after each atom.
Element x y z (fractional)
V1 0.3333 0.6667 0.2905  4 O 1.65-1.79
V2 0.6667 0.3333 0.7095  4 O 1.65-1.79
Bi1 0.0000 0.0000 0.5000  6 O 2.42
As1 0.0000 0.0000 0.0000  6 O 2.13
O1 0.1599 0.3197 0.2175  1 V 1.79
O2 0.1599 0.8401 0.2175  1 V 1.79
O3 0.3197 0.1599 0.7825  1 V 1.79
O4 0.3333 0.6667 0.5452  1 V 1.65
O5 0.6667 0.3333 0.4548  1 V 1.65
O6 0.6803 0.8401 0.2175  1 V 1.79
O7 0.8401 0.1599 0.7825  1 V 1.79
O8 0.8401 0.6803 0.7825  1 V 1.79

## Properties
symmetry	P-3m1, No. 164
electronic total energy	-6.73	eV/atom
DOS at the Fermi energy	0.0	states/eV per cell